Compound: Na2NpTe3
Source: OQMD
Functional: GGA-PBE
Structure: optimized geometry

```
Na2NpTe3
1.0
3.966 -6.688 0.000
3.966 6.688 0.000
-2.690 0.000 7.181
Te Na Np
6 4 2
direct
0.799 0.649 0.503 Te
0.000 0.500 0.000 Te
0.649 0.799 0.003 Te
0.201 0.351 0.497 Te
0.351 0.201 0.997 Te
0.500 0.000 0.500 Te
0.917 0.083 0.750 Na
0.083 0.917 0.250 Na
0.756 0.244 0.250 Na
0.244 0.756 0.750 Na
0.590 0.410 0.750 Np
0.410 0.590 0.250 Np
```

Computed properties:
* E above lowest polymorph: 0.000 eV per atom

=====

Compound: NaNp2Te6
Source: OQMD
Functional: GGA-PBE
Structure: optimized geometry

```
NaNp2Te6
1.0
-2.138 3.034 11.268
2.138 -3.034 11.268
2.138 3.034 -11.268
Te Np Na
6 2 1
direct
0.777 0.777 0.000 Te
0.647 0.401 0.246 Te
0.353 0.599 0.754 Te
0.154 0.401 0.754 Te
0.223 0.223 0.000 Te
0.846 0.599 0.246 Te
0.322 0.822 0.500 Np
0.678 0.178 0.500 Np
0.000 0.000 0.000 Na
```

Computed properties:
* raw total energy: -5.72 eV/atom

=====

- Number 2 is which compound?
  NaNp2Te6

=====

- Which formula does entry 1 have?
  Na2NpTe3